Record 1
12
Lattice="5.797 0.000 0.000 0.000 5.639 0.000 0.000 -2.820 5.752" Properties=species:S:1:pos:R:3 comment="CeGaCo3Ge (PBE-GGA, relaxed)" spacegroup="Cmcm (63)" e_form_mev_per_atom=-142 total_magnetization_mub_per_cell=0.00 pbc="T T T"
Ga 4.347 0.000 0.782
Ga 1.449 2.820 4.970
Ge 4.347 2.820 1.568
Ge 1.449 0.000 4.184
Co 2.898 4.041 0.000
Co 4.347 2.820 3.950
Co 1.449 0.000 1.802
Co 0.000 1.599 0.000
Co 0.000 4.041 0.000
Co 2.898 1.599 0.000
Ce 1.449 2.820 2.106
Ce 4.347 0.000 3.645

***

Record 2
12
Lattice="-3.996 3.033 4.021 -2.186 -4.771 -3.714 1.527 -4.558 4.957" Properties=species:S:1:pos:R:3 comment="Ce3GaCo2Ge6 (PBE-GGA, relaxed)" spacegroup="P-3m1 (164)" e_form_mev_per_atom=-182 total_magnetization_mub_per_cell=0.83 pbc="T T T"
Ce -1.725 -5.348 2.320
Ce 0.000 0.000 0.000
Ce -2.931 -0.948 2.943
Co -1.868 -4.120 6.392
Co -2.787 -2.176 -1.129
Ge -2.554 -1.744 6.018
Ge -2.101 -4.552 -0.755
Ge -3.734 -3.313 0.889
Ge -1.207 -2.602 0.763
Ge -3.448 -3.694 4.500
Ge -0.921 -2.984 4.375
Ga 0.764 -2.279 2.478

***

Record 3
28
Lattice="5.997 0.000 0.000 0.000 5.997 0.000 0.000 0.000 14.779" Properties=species:S:1:pos:R:3 comment="Ce2Ga9CoGe2 (PBE-GGA, relaxed)" spacegroup="P4/nmm (129)" e_form_mev_per_atom=-383 total_magnetization_mub_per_cell=0.00 pbc="T T T"
Ge 2.998 0.000 12.076
Ge 0.000 2.998 11.187
Ge 0.000 2.998 2.703
Ge 2.998 0.000 3.593
Ce 2.998 2.998 3.618
Ce 2.998 2.998 11.162
Ce 0.000 0.000 11.162
Ce 0.000 0.000 3.618
Co 2.998 2.998 0.000
Co 0.000 0.000 0.000
Ga 4.313 4.682 6.126
Ga 1.404 4.403 13.496
Ga 2.998 0.000 9.638
Ga 4.593 1.594 13.496
Ga 4.313 1.315 6.126
Ga 1.315 4.313 8.654
Ga 4.682 1.684 8.654
Ga 1.404 1.594 13.496
Ga 1.315 1.684 8.654
Ga 1.684 1.315 6.126
Ga 4.682 4.313 8.654
Ga 4.593 4.403 13.496
Ga 1.594 1.404 1.284
Ga 1.594 4.593 1.284
Ga 0.000 2.998 5.141
Ga 1.684 4.682 6.126
Ga 4.403 4.593 1.284
Ga 4.403 1.404 1.284

***

no.,calculated volume (Å³/cell)
1,188
2,247
3,532